First-principles (GGA-PBE) data for a relaxed structure of AcLa4Tb6, as listed in Alexandria via LeMat-Bulk.

a b c (Å): 9.8337 9.8337 9.8337
angles (deg): 139.09 139.09 59.24
Sites, in units of the cell vectors:
Ac (0.0000, 0.0000, 0.0000)
La (0.0144, 0.0144, 0.3864)
La (0.3720, 0.9856, 0.0000)
La (0.6280, 0.6280, 0.6136)
La (0.9856, 0.3720, 0.0000)
Tb (0.0000, 0.5000, 0.5000)
Tb (0.2073, 0.5571, 0.0000)
Tb (0.4429, 0.4429, 0.6502)
Tb (0.5000, 0.0000, 0.5000)
Tb (0.5571, 0.2073, 0.0000)
Tb (0.7927, 0.7927, 0.3498)

Values from the calculation:
total magnetization	0.00	Bohr magnetons per cell
ΔH_f (0 K)	0.31	eV/atom
SG	I-42m, No. 121
total DFT energy (no corrections)	-48.16	eV/f.u.